Compound: Dy6Y12Er
Source: Alexandria via LeMat-Bulk
Functional: PBE
Structure: relaxed

- Relative energy among the computed polymorphs: 0.000 eV/atom
- Energy of formation from the pure elements: 0.15 eV per atom

Unit cell a=8.5439 b=8.5439 c=8.5439 alpha=87.99 beta=87.99 gamma=87.99
Closest atoms and distances in Å follow each position.
Sites, in units of the cell vectors:
Dy 0.1942 0.5924 0.7560  6 Y 3.28-3.61, 1 Er 3.44, 2 Dy 3.46
Dy 0.2440 0.8058 0.4076  6 Y 3.28-3.61, 1 Er 3.44, 2 Dy 3.46
Dy 0.4076 0.2440 0.8058  6 Y 3.28-3.61, 1 Er 3.44, 2 Dy 3.46
Dy 0.5924 0.7560 0.1942  6 Y 3.28-3.61, 1 Er 3.44, 2 Dy 3.46
Dy 0.7560 0.1942 0.5924  6 Y 3.28-3.61, 1 Er 3.44, 2 Dy 3.46
Dy 0.8058 0.4076 0.2440  6 Y 3.28-3.61, 1 Er 3.44, 2 Dy 3.46
Y 0.0424 0.2768 0.9366  3 Dy 3.28-3.45, 6 Y 3.33-3.58
Y 0.0634 0.9576 0.7232  3 Dy 3.28-3.45, 6 Y 3.33-3.58
Y 0.1415 0.2989 0.4886  4 Y 3.45-3.57, 4 Dy 3.50-3.68, 1 Er 3.57
Y 0.2768 0.9366 0.0424  3 Dy 3.28-3.45, 6 Y 3.33-3.58
Y 0.2989 0.4887 0.1415  4 Y 3.45-3.57, 4 Dy 3.50-3.68, 1 Er 3.57
Y 0.4887 0.1415 0.2989  4 Y 3.45-3.57, 4 Dy 3.50-3.68, 1 Er 3.57
Y 0.5114 0.8585 0.7011  4 Y 3.45-3.57, 4 Dy 3.50-3.68, 1 Er 3.57
Y 0.7011 0.5113 0.8585  4 Y 3.45-3.57, 4 Dy 3.50-3.68, 1 Er 3.57
Y 0.7232 0.0634 0.9576  3 Dy 3.28-3.45, 6 Y 3.33-3.58
Y 0.8585 0.7011 0.5113  4 Y 3.45-3.57, 4 Dy 3.50-3.68, 1 Er 3.57
Y 0.9366 0.0424 0.2768  3 Dy 3.28-3.45, 6 Y 3.33-3.58
Y 0.9576 0.7232 0.0634  3 Dy 3.28-3.45, 6 Y 3.33-3.58
Er 0.5000 0.5000 0.5000  6 Dy 3.44, 6 Y 3.57